1.
CrAgSe | Alexandria | GGA-PBE | optimized geometry; calculated volume = 113 Å³/cell; DOS at the Fermi energy = 0.40 states/eV/atom; SG = No. 2; ΔE_f (raw) = 106.6 meV/atom
1.0
3.2115 0.0072 -0.0036
0.8062 6.0942 -0.0165
0.8184 2.8134 5.7858
Cr Se Ag
2 2 2
direct
0.7734 0.0929 0.5631
0.2266 0.9071 0.4369
0.7169 0.1613 0.1583
0.2831 0.8387 0.8417
0.2794 0.5198 0.3095
0.7206 0.4802 0.6905

---

2.
CrAg2Se | Alexandria | GGA-PBE | optimized geometry; calculated volume = 74 Å³/cell; DOS at the Fermi energy = 0.94 states/eV/atom; SG = No. 216; ΔE_f (raw) = 279.8 meV/atom
1.0
-3.1382 2.0670 -2.8477
-4.2225 1.2686 1.6708
-1.0406 4.5648 0.5568
Ag Cr Se
2 1 1
direct
0.0000 0.0000 0.0000
0.2500 0.2500 0.2500
0.5000 0.5000 0.5000
0.7500 0.7500 0.7500

---

3.
CrAgSe | Alexandria | GGA-PBE | optimized geometry; calculated volume = 117 Å³/cell; DOS at the Fermi energy = 0.36 states/eV/atom; SG = No. 2; ΔE_f (raw) = 5.6 meV/atom
1.0
-1.0624 -1.6607 2.6699
0.8227 -3.1530 -0.4902
9.7561 1.0828 5.3365
Cr Se Ag
2 2 2
direct
0.1915 0.1915 0.0490
0.8085 0.8085 0.9510
0.1965 0.1945 0.8281
0.8035 0.8055 0.1719
0.2744 0.2761 0.5839
0.7256 0.7239 0.4161

---

4.
CrAg2Se | Alexandria | GGA-PBE | optimized geometry; calculated volume = 73 Å³/cell; DOS at the Fermi energy = 0.19 states/eV/atom; SG = No. 123; ΔE_f (raw) = 138.7 meV/atom
1.0
3.9064 0.0000 0.0000
0.0000 3.9018 0.0000
0.0000 0.0000 4.8221
Ag Cr Se
2 1 1
direct
0.0000 0.0000 0.0000
0.5000 0.5000 0.0000
0.5000 0.0000 0.5000
0.0000 0.5000 0.5000